The following is a PBE calculation of crystalline Pm3Nd2Tl3 at its relaxed geometry, from Alexandria.

Output
**Crystal system**: orthorhombic
**Magnetic moment**: 0.00 μB per cell
**Formation energy**: -276 meV per atom

a b c (Å): 11.129 11.129 11.129
angles (deg): 156.50 153.70 35.55
Atoms (fractional coordinates):
1 Pm 0.000 0.000 0.000
2 Pm 0.382 0.882 0.500
3 Pm 0.618 0.118 0.500
4 Nd 0.237 0.237 0.000
5 Nd 0.763 0.763 0.000
6 Tl 0.125 0.625 0.500
7 Tl 0.500 0.500 0.000
8 Tl 0.875 0.375 0.500